Computed, not measured: crystalline CaAsIr at its relaxed geometry at the PBE-GGA level of DFT.

## Properties
ΔH_f (0 K) in eV/atom: -0.6902
DOS at the Fermi energy in states/eV per cell: 3.34
VASP energy in eV per atom: -5.86
M_tot in μB/f.u.: 0.0

Lattice parameters (Å, degrees): 4.3777 4.4205 6.7703 90.00 96.48 90.00
With the nearest neighbours (Å) after each atom.
Positions (direct):
As (0.9138, 0.5000, 0.0741)  3 Ir 2.43-2.56
As (0.5287, 0.5000, 0.5546)  3 Ir 2.31-2.37
Ir (0.3782, 0.5000, 0.8794)  3 As 2.37-2.56
Ir (0.0123, 0.5000, 0.4352)  3 As 2.31-2.43
Ca (0.4528, 0.0000, 0.2185)  6 As 3.16-3.30, 6 Ir 3.18-3.50
Ca (0.9450, 0.0000, 0.7436)  4 Ir 2.99-3.08, 4 As 3.05-3.16